! SmCd6In GGA-PBE relaxed; values from VASP
! ΔE_f	-0.153	eV/atom
! symmetry	Amm2 (38)
! D(E_F)	3.305	states/eV per cell
&SYSTEM
  ibrav = 0, nat = 8, ntyp = 3
/
ATOMIC_SPECIES
Sm 150.36 Sm.upf
Cd 112.41 Cd.upf
In 114.82 In.upf
ATOMIC_POSITIONS crystal
Sm 0.000 0.140 0.860
Cd 0.000 0.046 0.347
Cd 0.000 0.653 0.954
Cd 0.000 0.561 0.439
Cd 0.500 0.440 0.145
Cd 0.500 0.855 0.560
Cd 0.500 0.938 0.062
In 0.500 0.367 0.633
CELL_PARAMETERS angstrom
-0.050 2.439 -4.173
1.517 -5.388 -3.168
-6.428 0.175 0.179

! Sm6CdIn5 GGA-PBE relaxed; values from VASP
! ΔE_f	-0.292	eV/atom
! symmetry	C2/m (12)
! excess energy over the best structure of this formula in the dataset	208	kJ/mol of formula units
! D(E_F)	7.786	states/eV per cell
&SYSTEM
  ibrav = 0, nat = 12, ntyp = 3
/
ATOMIC_SPECIES
Sm 150.36 Sm.upf
Cd 112.41 Cd.upf
In 114.82 In.upf
ATOMIC_POSITIONS crystal
Sm 0.755 0.078 0.334
Sm 0.245 0.589 0.334
Sm 0.258 0.242 0.000
Sm 0.742 0.758 0.000
Sm 0.755 0.411 0.666
Sm 0.245 0.922 0.666
Cd 0.000 0.000 0.000
In 0.500 0.177 0.647
In 0.000 0.345 0.310
In 0.500 0.500 0.000
In 0.000 0.655 0.690
In 0.500 0.823 0.353
CELL_PARAMETERS angstrom
-5.837 2.705 -7.661
-0.073 -5.391 -3.745
-4.607 -4.588 0.941

! Sm4Cd3In GGA-PBE relaxed; values from VASP
! ΔE_f	-0.311	eV/atom
! symmetry	Pmm2 (25)
! excess energy over the best structure of this formula in the dataset	38	kJ/mol of formula units
! D(E_F)	7.234	states/eV per cell
&SYSTEM
  ibrav = 0, nat = 8, ntyp = 3
/
ATOMIC_SPECIES
Sm 150.36 Sm.upf
Cd 112.41 Cd.upf
In 114.82 In.upf
ATOMIC_POSITIONS crystal
Sm 0.500 0.500 0.341
Sm 0.000 0.500 0.839
Sm 0.000 0.000 0.160
Sm 0.500 0.000 0.659
Cd 0.000 0.500 0.571
Cd 0.000 0.000 0.429
Cd 0.500 0.000 0.927
In 0.500 0.500 0.072
CELL_PARAMETERS angstrom
3.670 0.000 0.000
0.000 4.952 0.000
0.000 0.000 12.412

> Among the records above, which one has the highest ΔE_f?

SmCd6In